1.
The following is a PBE-GGA calculation of Li2H5Pd2 after structural relaxation, from Alexandria via LeMat-Bulk.

Output
Final energy, eV per atom: -3.74

a = 7.698 Å, b = 7.698 Å, c = 7.698 Å
α = 144.01°, β = 51.50°, γ = 144.43°
Fractional positions:
Li: 0.156 0.024 0.133
Li: 0.391 0.024 0.367
Li: 0.609 0.976 0.633
Li: 0.844 0.976 0.867
H: 0.051 0.425 0.626
H: 0.279 0.000 0.779
H: 0.279 0.500 0.279
H: 0.299 0.425 0.874
H: 0.500 0.000 0.000
H: 0.500 0.500 0.500
H: 0.701 0.575 0.126
H: 0.721 0.000 0.221
H: 0.721 0.500 0.721
H: 0.949 0.575 0.374
Pd: 0.000 0.500 0.500
Pd: 0.214 0.464 0.750
Pd: 0.500 0.500 0.000
Pd: 0.786 0.536 0.250

---

2.
The following is a PBE-GGA calculation of LiHPd after structural relaxation, from Alexandria via LeMat-Bulk.

Output
E above lowest polymorph, eV/atom: 0.036

a = 3.090 Å, b = 3.090 Å, c = 4.009 Å
α = 90.00°, β = 90.00°, γ = 120.00°
Fractional positions:
Li: 0.000 0.000 0.000
H: 0.333 0.667 0.553
Pd: 0.667 0.333 0.503

---

3.
The following is a PBE-GGA calculation of Li5HPd6 after structural relaxation, from Alexandria via LeMat-Bulk.

Output
Final energy, eV per atom: -3.98

a = 7.334 Å, b = 7.334 Å, c = 5.566 Å
α = 98.47°, β = 98.47°, γ = 32.11°
Fractional positions:
Li: 0.000 0.000 0.000
Li: 0.291 0.291 0.345
Li: 0.356 0.356 0.832
Li: 0.644 0.644 0.168
Li: 0.709 0.709 0.655
H: 0.000 0.000 0.500
Pd: 0.111 0.111 0.425
Pd: 0.178 0.178 0.924
Pd: 0.464 0.464 0.259
Pd: 0.536 0.536 0.741
Pd: 0.822 0.822 0.076
Pd: 0.889 0.889 0.575

---

4.
The following is a PBE-GGA calculation of LiH5Pd5 after structural relaxation, from Alexandria via LeMat-Bulk.

Output
Final energy, eV per atom: -4.25

a = 4.995 Å, b = 4.995 Å, c = 5.786 Å
α = 106.30°, β = 106.30°, γ = 47.54°
Fractional positions:
Li: 0.000 0.000 0.000
H: 0.167 0.167 0.375
H: 0.187 0.187 0.839
H: 0.500 0.500 0.000
H: 0.813 0.813 0.161
H: 0.833 0.833 0.625
Pd: 0.000 0.000 0.500
Pd: 0.334 0.334 0.668
Pd: 0.341 0.341 0.162
Pd: 0.659 0.659 0.838
Pd: 0.666 0.666 0.332

---

5.
The following is a PBE-GGA calculation of Li2HPd after structural relaxation, from Alexandria via LeMat-Bulk.

Output
E above lowest polymorph, eV/atom: 0.119

a = 7.249 Å, b = 7.249 Å, c = 7.249 Å
α = 21.85°, β = 21.85°, γ = 21.85°
Fractional positions:
Li: 0.112 0.112 0.112
Li: 0.888 0.888 0.888
H: 0.500 0.500 0.500
Pd: 0.000 0.000 0.000

---

6.
The following is a PBE-GGA calculation of LiHPd3 after structural relaxation, from Alexandria via LeMat-Bulk.

Output
E above lowest polymorph, eV/atom: 0.002

a = 5.549 Å, b = 5.599 Å, c = 5.600 Å
α = 90.80°, β = 119.53°, γ = 119.43°
Fractional positions:
Li: 0.000 0.000 0.000
Li: 0.500 0.500 0.500
H: 0.001 0.738 0.263
H: 0.999 0.262 0.737
Pd: 0.000 0.000 0.500
Pd: 0.000 0.500 0.000
Pd: 0.000 0.500 0.500
Pd: 0.500 0.000 0.000
Pd: 0.500 0.000 0.500
Pd: 0.500 0.500 0.000

---

7.
The following is a PBE-GGA calculation of Li3H3Pd after structural relaxation, from Alexandria via LeMat-Bulk.

Output
E above lowest polymorph, eV/atom: 0.000

a = 5.543 Å, b = 5.543 Å, c = 4.171 Å
α = 90.00°, β = 90.00°, γ = 95.37°
Fractional positions:
Li: 0.125 0.875 0.750
Li: 0.145 0.389 0.750
Li: 0.389 0.145 0.250
Li: 0.611 0.855 0.750
Li: 0.855 0.611 0.250
Li: 0.875 0.125 0.250
H: 0.125 0.875 0.250
H: 0.143 0.395 0.250
H: 0.395 0.143 0.750
H: 0.605 0.857 0.250
H: 0.857 0.605 0.750
H: 0.875 0.125 0.750
Pd: 0.357 0.643 0.250
Pd: 0.643 0.357 0.750

---

8.
The following is a PBE-GGA calculation of LiHPd after structural relaxation, from Alexandria via LeMat-Bulk.

Output
E above lowest polymorph, eV/atom: 0.261

a = 3.489 Å, b = 3.489 Å, c = 3.489 Å
α = 60.00°, β = 60.00°, γ = 60.00°
Fractional positions:
Li: 0.000 0.000 0.000
H: 0.750 0.750 0.750
Pd: 0.500 0.500 0.500

---

9.
The following is a PBE-GGA calculation of Li2HPd after structural relaxation, from Alexandria via LeMat-Bulk.

Output
E above lowest polymorph, eV/atom: 0.144

a = 5.615 Å, b = 5.615 Å, c = 5.615 Å
α = 95.78°, β = 95.78°, γ = 143.01°
Fractional positions:
Li: 0.375 0.237 0.362
Li: 0.763 0.125 0.138
Li: 0.875 0.013 0.638
Li: 0.987 0.625 0.862
H: 0.000 0.000 0.000
H: 0.750 0.250 0.500
Pd: 0.250 0.750 0.500
Pd: 0.500 0.500 0.000

---

10.
The following is a PBE-GGA calculation of Li4HPd after structural relaxation, from Alexandria via LeMat-Bulk.

Output
Final energy, eV per atom: -2.86

a = 4.274 Å, b = 4.380 Å, c = 5.333 Å
α = 90.00°, β = 108.38°, γ = 90.00°
Fractional positions:
Li: 0.129 0.000 0.293
Li: 0.332 0.544 0.734
Li: 0.668 0.544 0.266
Li: 0.871 0.000 0.707
H: 0.000 0.725 0.500
Pd: 0.500 0.057 0.000

---

11.
The following is a PBE-GGA calculation of LiH6Pd8 after structural relaxation, from Alexandria via LeMat-Bulk.

Output
E above lowest polymorph, eV/atom: 0.000

a = 5.051 Å, b = 5.051 Å, c = 14.333 Å
α = 90.00°, β = 90.00°, γ = 120.00°
Fractional positions:
Li: 0.000 0.000 0.000
Li: 0.000 0.000 0.500
H: 0.000 0.000 0.237
H: 0.000 0.000 0.737
H: 0.000 0.361 0.056
H: 0.000 0.639 0.556
H: 0.333 0.667 0.373
H: 0.333 0.667 0.873
H: 0.361 0.000 0.056
H: 0.361 0.361 0.556
H: 0.639 0.000 0.556
H: 0.639 0.639 0.056
H: 0.667 0.333 0.373
H: 0.667 0.333 0.873
Pd: 0.000 0.322 0.836
Pd: 0.000 0.336 0.175
Pd: 0.000 0.664 0.675
Pd: 0.000 0.678 0.336
Pd: 0.322 0.000 0.836
Pd: 0.322 0.322 0.336
Pd: 0.333 0.667 0.002
Pd: 0.333 0.667 0.502
Pd: 0.336 0.000 0.175
Pd: 0.336 0.336 0.675
Pd: 0.664 0.000 0.675
Pd: 0.664 0.664 0.175
Pd: 0.667 0.333 0.002
Pd: 0.667 0.333 0.502
Pd: 0.678 0.000 0.336
Pd: 0.678 0.678 0.836

---

12.
The following is a PBE-GGA calculation of Li3H12Pd5 after structural relaxation, from Alexandria via LeMat-Bulk.

Output
Final energy, eV per atom: -3.76

a = 9.515 Å, b = 9.515 Å, c = 9.515 Å
α = 109.47°, β = 109.47°, γ = 109.47°
Fractional positions:
Li: 0.125 0.250 0.375
Li: 0.125 0.375 0.750
Li: 0.250 0.375 0.125
Li: 0.250 0.875 0.625
Li: 0.375 0.125 0.250
Li: 0.375 0.750 0.125
Li: 0.625 0.250 0.875
Li: 0.625 0.875 0.750
Li: 0.750 0.125 0.375
Li: 0.750 0.625 0.875
Li: 0.875 0.625 0.250
Li: 0.875 0.750 0.625
H: 0.038 0.202 0.129
H: 0.038 0.336 0.909
H: 0.073 0.702 0.664
H: 0.073 0.871 0.409
H: 0.091 0.629 0.427
H: 0.091 0.962 0.664
H: 0.129 0.038 0.202
H: 0.129 0.591 0.927
H: 0.164 0.202 0.573
H: 0.164 0.462 0.591
H: 0.202 0.129 0.038
H: 0.202 0.573 0.164
H: 0.298 0.336 0.927
H: 0.298 0.462 0.371
H: 0.336 0.909 0.038
H: 0.336 0.927 0.298
H: 0.371 0.298 0.462
H: 0.371 0.573 0.909
H: 0.409 0.073 0.871
H: 0.409 0.836 0.538
H: 0.427 0.091 0.629
H: 0.427 0.836 0.798
H: 0.462 0.371 0.298
H: 0.462 0.591 0.164
H: 0.538 0.409 0.836
H: 0.538 0.629 0.702
H: 0.573 0.164 0.202
H: 0.573 0.909 0.371
H: 0.591 0.164 0.462
H: 0.591 0.927 0.129
H: 0.629 0.427 0.091
H: 0.629 0.702 0.538
H: 0.664 0.073 0.702
H: 0.664 0.091 0.962
H: 0.702 0.538 0.629
H: 0.702 0.664 0.073
H: 0.798 0.427 0.836
H: 0.798 0.871 0.962
H: 0.836 0.538 0.409
H: 0.836 0.798 0.427
H: 0.871 0.409 0.073
H: 0.871 0.962 0.798
H: 0.909 0.038 0.336
H: 0.909 0.371 0.573
H: 0.927 0.129 0.591
H: 0.927 0.298 0.336
H: 0.962 0.664 0.091
H: 0.962 0.798 0.871
Pd: 0.000 0.000 0.000
Pd: 0.000 0.000 0.500
Pd: 0.000 0.500 0.000
Pd: 0.000 0.500 0.500
Pd: 0.125 0.750 0.875
Pd: 0.125 0.875 0.250
Pd: 0.250 0.125 0.875
Pd: 0.250 0.625 0.375
Pd: 0.375 0.250 0.625
Pd: 0.375 0.625 0.750
Pd: 0.500 0.000 0.000
Pd: 0.500 0.000 0.500
Pd: 0.500 0.500 0.000
Pd: 0.500 0.500 0.500
Pd: 0.625 0.375 0.250
Pd: 0.625 0.750 0.375
Pd: 0.750 0.375 0.625
Pd: 0.750 0.875 0.125
Pd: 0.875 0.125 0.750
Pd: 0.875 0.250 0.125

---

13.
The following is a PBE-GGA calculation of LiHPd3 after structural relaxation, from Alexandria via LeMat-Bulk.

Output
E above lowest polymorph, eV/atom: 0.866

a = 9.931 Å, b = 9.931 Å, c = 9.931 Å
α = 152.44°, β = 152.44°, γ = 39.38°
Fractional positions:
Li: 0.000 0.000 0.000
Li: 0.750 0.250 0.500
H: 0.123 0.623 0.500
H: 0.377 0.877 0.500
Pd: 0.371 0.126 0.246
Pd: 0.376 0.376 0.000
Pd: 0.624 0.624 0.000
Pd: 0.874 0.120 0.246
Pd: 0.874 0.629 0.754
Pd: 0.880 0.126 0.754

---

14.
The following is a PBE-GGA calculation of LiHPd3 after structural relaxation, from Alexandria via LeMat-Bulk.

Output
E above lowest polymorph, eV/atom: 0.511

a = 6.747 Å, b = 6.747 Å, c = 5.025 Å
α = 90.00°, β = 90.00°, γ = 131.90°
Fractional positions:
Li: 0.170 0.830 0.750
Li: 0.830 0.170 0.250
H: 0.412 0.588 0.750
H: 0.588 0.412 0.250
Pd: 0.000 0.000 0.000
Pd: 0.000 0.000 0.500
Pd: 0.080 0.409 0.750
Pd: 0.409 0.080 0.250
Pd: 0.591 0.920 0.750
Pd: 0.920 0.591 0.250

---

15.
The following is a PBE-GGA calculation of Li2HPd8 after structural relaxation, from Alexandria via LeMat-Bulk.

Output
E above lowest polymorph, eV/atom: 0.000

a = 7.430 Å, b = 7.430 Å, c = 4.169 Å
α = 106.30°, β = 106.30°, γ = 125.07°
Fractional positions:
Li: 0.193 0.807 0.000
Li: 0.807 0.193 0.000
H: 0.500 0.500 0.950
Pd: 0.001 0.001 0.999
Pd: 0.139 0.356 0.747
Pd: 0.294 0.706 0.501
Pd: 0.356 0.139 0.747
Pd: 0.501 0.501 0.499
Pd: 0.645 0.862 0.253
Pd: 0.706 0.294 0.501
Pd: 0.862 0.645 0.253

---

16.
The following is a PBE-GGA calculation of Li2HPd after structural relaxation, from Alexandria via LeMat-Bulk.

Output
E above lowest polymorph, eV/atom: 0.152

a = 4.155 Å, b = 4.155 Å, c = 3.424 Å
α = 90.00°, β = 90.00°, γ = 90.00°
Fractional positions:
Li: 0.000 0.500 0.000
Li: 0.500 0.000 0.000
H: 0.000 0.000 0.000
Pd: 0.000 0.000 0.500

---

17.
The following is a PBE-GGA calculation of LiHPd3 after structural relaxation, from Alexandria via LeMat-Bulk.

Output
E above lowest polymorph, eV/atom: 0.100

a = 6.735 Å, b = 6.735 Å, c = 9.094 Å
α = 128.23°, β = 128.23°, γ = 23.67°
Fractional positions:
Li: 0.069 0.069 0.205
Li: 0.931 0.931 0.795
H: 0.405 0.405 0.985
H: 0.595 0.595 0.015
Pd: 0.071 0.071 0.688
Pd: 0.194 0.194 0.075
Pd: 0.327 0.327 0.470
Pd: 0.673 0.673 0.530
Pd: 0.806 0.806 0.925
Pd: 0.929 0.929 0.312

---

18.
The following is a PBE-GGA calculation of Li3H8Pd4 after structural relaxation, from Alexandria via LeMat-Bulk.

Output
Final energy, eV per atom: -3.80

a = 5.701 Å, b = 5.701 Å, c = 5.572 Å
α = 119.13°, β = 119.13°, γ = 91.08°
Fractional positions:
Li: 0.000 0.000 0.000
Li: 0.000 0.500 0.500
Li: 0.500 0.000 0.500
H: 0.227 0.773 0.500
H: 0.245 0.245 0.542
H: 0.262 0.262 0.992
H: 0.265 0.735 0.000
H: 0.735 0.265 0.000
H: 0.738 0.738 0.008
H: 0.755 0.755 0.458
H: 0.773 0.227 0.500
Pd: 0.000 0.000 0.500
Pd: 0.000 0.500 0.000
Pd: 0.500 0.000 0.000
Pd: 0.500 0.500 0.000

---

19.
The following is a PBE-GGA calculation of LiH7Pd2 after structural relaxation, from Alexandria via LeMat-Bulk.

Output
Final energy, eV per atom: -3.57

a = 5.028 Å, b = 5.028 Å, c = 3.551 Å
α = 90.00°, β = 90.00°, γ = 112.68°
Fractional positions:
Li: 0.000 0.000 0.000
H: 0.061 0.329 0.500
H: 0.293 0.707 0.000
H: 0.329 0.061 0.500
H: 0.500 0.500 0.500
H: 0.671 0.939 0.500
H: 0.707 0.293 0.000
H: 0.939 0.671 0.500
Pd: 0.295 0.705 0.500
Pd: 0.705 0.295 0.500